CsHgPb2Br8: relaxed, PBE-GGA.

As for the energy relative to the elements, uncorrected: -10.1 eV/f.u. The value obtained for the total DFT energy (no corrections) is -2.675 eV per atom. The value obtained for the density is 4.9 Mg/m³. As for the density of states at the Fermi level: 1.37 states/eV/f.u.

abc: 5.7632 8.6165 9.9649
angles: 95.79 105.57 93.89
Closest atoms and distances in Å follow each position.
Space group P-1 (No. 2)
Inequivalent atoms, fractional coordinates:
Cs1 0.0000 0.0000 0.0000 x1  6 Br 3.66-3.76
Hg1 0.0000 0.0000 0.5000 x1  2 Br 2.47
Pb1 0.3124 0.5471 0.7037 x2  4 Br 2.83-3.16
Br1 0.0963 0.8043 0.3286 x2  1 Hg 2.47
Br2 0.2016 0.3818 0.3940 x2  3 Pb 2.99-3.24
Br3 0.2494 0.5022 0.0036 x2  2 Br 2.85-2.91, 1 Pb 3.16
Br4 0.3899 0.8772 0.7713 x2  1 Pb 2.83